[1]
This record from the Alexandria database describes an optimized crystal structure of Ce3Co5O12. The functional is PBE+U.

Summary:
Total moment in μB per formula unit: 9.0
Uncorrected energy in eV for the cell shown: -573.65

Unit cell a=10.734 b=10.734 c=10.734 alpha=109.47 beta=109.47 gamma=109.47
Sites, in units of the cell vectors:
O1 0.467 0.797 0.878
O2 0.911 0.081 0.878
Co1 0.000 0.500 0.500
Ce1 0.375 0.625 0.250
O3 0.622 0.033 0.203
Ce2 0.625 0.375 0.750
O4 0.622 0.589 0.919
O5 0.878 0.581 0.911
Co2 0.875 0.250 0.625
O6 0.033 0.622 0.703
Co3 0.000 0.000 0.500
O7 0.419 0.297 0.330
Ce3 0.125 0.875 0.750
Co4 0.125 0.750 0.375
O8 0.203 0.533 0.622
O9 0.297 0.419 0.830
O10 0.330 0.533 0.411
Ce4 0.625 0.250 0.375
Co5 0.375 0.250 0.125
Co6 0.000 0.500 0.000
O11 0.122 0.419 0.089
O12 0.703 0.122 0.033
Co7 0.250 0.375 0.625
Ce5 0.250 0.625 0.875
O13 0.533 0.203 0.122
Co8 0.500 0.000 0.500
Ce6 0.250 0.125 0.375
Ce7 0.875 0.750 0.125
Co9 0.375 0.125 0.750
O14 0.419 0.122 0.589
O15 0.081 0.911 0.378
Co10 0.000 0.000 0.000
O16 0.830 0.919 0.297
O17 0.581 0.703 0.670
Co11 0.250 0.875 0.125
O18 0.089 0.919 0.122
O19 0.967 0.378 0.297
Ce8 0.125 0.250 0.875
O20 0.081 0.170 0.203
O21 0.203 0.670 0.081
Ce9 0.875 0.125 0.250
O22 0.411 0.378 0.581
Ce10 0.375 0.750 0.625
Ce11 0.750 0.875 0.625
O23 0.703 0.581 0.170
Co12 0.625 0.750 0.875
Co13 0.875 0.625 0.750
O24 0.033 0.411 0.830
O25 0.467 0.670 0.089
O26 0.797 0.467 0.378
O27 0.378 0.411 0.081
O28 0.378 0.967 0.797
Co14 0.750 0.125 0.875
O29 0.330 0.797 0.419
O30 0.911 0.830 0.533
O31 0.122 0.703 0.533
O32 0.878 0.297 0.467
O33 0.589 0.622 0.419
Ce12 0.750 0.375 0.125
Co15 0.125 0.375 0.250
O34 0.089 0.170 0.467
Co16 0.500 0.500 0.000
Co17 0.750 0.625 0.375
O35 0.589 0.967 0.670
O36 0.533 0.330 0.911
O37 0.797 0.330 0.919
Co18 0.500 0.500 0.500
O38 0.170 0.089 0.967
O39 0.670 0.203 0.581
O40 0.919 0.089 0.622
Co19 0.500 0.000 0.000
O41 0.411 0.033 0.330
O42 0.967 0.589 0.170
O43 0.170 0.081 0.703
O44 0.830 0.911 0.033
O45 0.581 0.878 0.411
Co20 0.625 0.875 0.250
O46 0.297 0.878 0.967
O47 0.919 0.830 0.797
O48 0.670 0.467 0.589


[2]
This record from the Alexandria database describes an optimized crystal structure of Ce2CoO. The functional is PBE+U.

Summary:
Total moment in μB per formula unit: 0.9
Uncorrected energy in eV for the cell shown: -25.12
Fermi-level density of states in states/eV per cell: 3.84

Unit cell a=3.163 b=3.163 c=8.322 alpha=79.05 beta=79.05 gamma=60.00
Sites, in units of the cell vectors:
Ce1 0.900 0.900 0.299
Co1 0.000 0.000 0.000
Ce2 0.100 0.100 0.701
O1 0.500 0.500 0.500


[3]
This record from the Alexandria database describes an optimized crystal structure of CeCo2PO8. The functional is PBE+U.

Summary:
Total moment in μB per formula unit: 8.9
Uncorrected energy in eV for the cell shown: -77.93
Fermi-level density of states in states/eV per cell: 6.08

Unit cell a=5.584 b=5.584 c=5.722 alpha=90.00 beta=90.00 gamma=120.00
Sites, in units of the cell vectors:
Co1 0.333 0.667 0.067
O1 0.712 0.856 0.179
O2 0.856 0.712 0.821
Co2 0.667 0.333 0.933
O3 0.144 0.288 0.179
O4 0.667 0.333 0.238
O5 0.288 0.144 0.821
P1 0.000 0.000 0.000
O6 0.856 0.144 0.821
O7 0.333 0.667 0.762
O8 0.144 0.856 0.179
Ce1 0.000 0.000 0.500


> Look up the total moment of the third one.

8.9 μB per formula unit


What did the second record say?
This record from the Alexandria database describes an optimized crystal structure of Ce2CoO. The functional is PBE+U.

Summary:
Total moment in μB per formula unit: 0.9
Uncorrected energy in eV for the cell shown: -25.12
Fermi-level density of states in states/eV per cell: 3.84

Unit cell a=3.163 b=3.163 c=8.322 alpha=79.05 beta=79.05 gamma=60.00
Sites, in units of the cell vectors:
Ce1 0.900 0.900 0.299
Co1 0.000 0.000 0.000
Ce2 0.100 0.100 0.701
O1 0.500 0.500 0.500


> Which of these has the highest total moment?

Ce3Co5O12


> Which value of total moment does entry 2 give?

0.9 μB per formula unit